(1)
AlSi2Ni | PBE | optimized geometry

Computed properties:
As for the size of the total moment: 0.0 μB per formula unit. The formation energy without anion corrections comes out at 0.27 eV/atom.

Cell: 4.4041 4.4041 7.0489 Å, 90.00 90.00 120.00°
Space group P6_3/mmc (No. 194)
Inequivalent atoms, fractional coordinates:
1 Al 0.0000 0.0000 0.0000 [2 per cell]
2 Si 0.3333 0.6667 0.0814 [4 per cell]
3 Ni 0.3333 0.6667 0.7500 [2 per cell]

***

(2)
RbTlAgS2 | PBE | optimized geometry

Computed properties:
As for the size of the total moment: 0.0 μB per formula unit. The formation energy without anion corrections comes out at -0.42 eV/atom.

Cell: 6.976 14.147 6.058 Å, 90.00 90.00 90.00°
Space group Cmme (No. 67)
Inequivalent atoms, fractional coordinates:
1 Rb 0.000 0.250 0.242 [4 per cell]
2 Tl 0.250 0.000 0.500 [4 per cell]
3 Ag 0.000 0.000 0.000 [4 per cell]
4 S 0.000 0.126 0.739 [8 per cell]

***

(3)
LiB2Pd4 | PBE | optimized geometry

Computed properties:
As for the size of the total moment: 0.0 μB per formula unit. The energy above the most stable polymorph in this dataset comes out at 0 meV per atom.

Cell: 5.335 5.347 6.977 Å, 107.63 107.71 101.51°
Space group P1 (No. 1)
Inequivalent atoms, fractional coordinates:
1 Li 0.000 0.000 0.000 [1 per cell]
2 Li 0.240 0.744 0.485 [1 per cell]
3 B 0.158 0.504 0.945 [1 per cell]
4 B 0.455 0.301 0.540 [1 per cell]
5 B 0.620 0.136 0.063 [1 per cell]
6 B 0.797 0.815 0.421 [1 per cell]
7 Pd 0.009 0.165 0.374 [1 per cell]
8 Pd 0.318 0.182 0.799 [1 per cell]
9 Pd 0.436 0.923 0.236 [1 per cell]
10 Pd 0.443 0.430 0.250 [1 per cell]
11 Pd 0.456 0.707 0.835 [1 per cell]
12 Pd 0.761 0.123 0.686 [1 per cell]
13 Pd 0.863 0.613 0.651 [1 per cell]
14 Pd 0.878 0.532 0.110 [1 per cell]

***

(4)
Y3Tl2Ag | PBE | optimized geometry

Computed properties:
As for the size of the total moment: 0.0 μB per formula unit. The energy above the most stable polymorph in this dataset comes out at 0 meV per atom.

Cell: 3.626 3.626 12.031 Å, 90.00 90.00 90.00°
Space group P4/mmm (No. 123)
Inequivalent atoms, fractional coordinates:
1 Y 0.000 0.000 0.000 [1 per cell]
2 Y 0.000 0.000 0.348 [2 per cell]
3 Tl 0.500 0.500 0.175 [2 per cell]
4 Ag 0.500 0.500 0.500 [1 per cell]